Bi3Pt3O11: PBEsol geometry, SCAN.

Results
Symmetry: Pn-3, No. 201
Total moment (μB/cell): 0.00
Formation energy (no corrections) (eV/f.u.): -16.4

abc: 9.3742 9.3742 9.3742
angles: 90.00 90.00 90.00
Element x y z (fractional)
O: 0.8315 0.2115 0.4950
O: 0.1456 0.5000 0.5000
O: 0.0000 0.0000 0.6456
O: 0.0000 0.6456 0.0000
O: 0.7115 0.9950 0.6685
O: 0.0050 0.6685 0.2885
O: 0.3544 0.0000 0.0000
O: 0.6032 0.6032 0.6032
O: 0.3315 0.2885 0.9950
O: 0.0000 0.0000 0.3544
O: 0.8315 0.7885 0.5050
O: 0.4950 0.1685 0.7885
O: 0.2115 0.4950 0.8315
O: 0.9950 0.3315 0.2885
O: 0.7885 0.4950 0.1685
O: 0.6685 0.7115 0.9950
O: 0.8968 0.8968 0.8968
O: 0.1032 0.8968 0.1032
O: 0.5000 0.1456 0.5000
O: 0.3315 0.7115 0.0050
O: 0.5000 0.5000 0.8544
O: 0.8544 0.5000 0.5000
O: 0.0000 0.3544 0.0000
O: 0.9950 0.6685 0.7115
O: 0.0050 0.3315 0.7115
O: 0.1685 0.2115 0.5050
O: 0.7115 0.0050 0.3315
O: 0.3968 0.6032 0.3968
O: 0.1032 0.1032 0.8968
O: 0.8968 0.1032 0.1032
O: 0.5050 0.1685 0.2115
O: 0.6456 0.0000 0.0000
O: 0.5000 0.5000 0.1456
O: 0.4950 0.8315 0.2115
O: 0.6032 0.3968 0.3968
O: 0.5000 0.8544 0.5000
O: 0.5050 0.8315 0.7885
O: 0.6685 0.2885 0.0050
O: 0.2115 0.5050 0.1685
O: 0.2885 0.0050 0.6685
O: 0.2885 0.9950 0.3315
O: 0.3968 0.3968 0.6032
O: 0.1685 0.7885 0.4950
O: 0.7885 0.5050 0.8315
Pt: 0.0000 0.5000 0.1579
Pt: 0.0000 0.3421 0.5000
Pt: 0.5000 0.0000 0.3421
Pt: 0.1579 0.0000 0.5000
Pt: 0.5000 0.1579 0.0000
Pt: 0.5000 0.0000 0.6579
Pt: 0.0000 0.6579 0.5000
Pt: 0.8421 0.0000 0.5000
Pt: 0.0000 0.5000 0.8421
Pt: 0.5000 0.8421 0.0000
Pt: 0.3421 0.5000 0.0000
Pt: 0.6579 0.5000 0.0000
Bi: 0.1335 0.1335 0.1335
Bi: 0.7500 0.7500 0.7500
Bi: 0.8665 0.8665 0.1335
Bi: 0.7500 0.2500 0.2500
Bi: 0.3665 0.3665 0.3665
Bi: 0.6335 0.3665 0.6335
Bi: 0.2500 0.7500 0.2500
Bi: 0.8665 0.1335 0.8665
Bi: 0.6335 0.6335 0.3665
Bi: 0.3665 0.6335 0.6335
Bi: 0.2500 0.2500 0.7500
Bi: 0.1335 0.8665 0.8665